1.
Compound: SrMg9Ga3
Source: Alexandria
Functional: GGA-PBE
Structure: relaxed

Energy of formation from the pure elements   -142 meV/atom

Unit cell a=7.7300 b=7.7300 c=7.6080 alpha=97.59 beta=97.59 gamma=136.28
Closest atoms and distances in Å follow each position.
Atoms (fractional coordinates):
Sr: 0.0000 0.0000 0.0000  14 Mg 3.57-3.80, 6 Ga 3.87
Mg: 0.0000 0.0000 0.5000  2 Ga 2.88, 8 Mg 2.98-3.09
Mg: 0.0065 0.6513 0.6492  6 Mg 2.97-3.23, 3 Ga 3.04-3.14
Mg: 0.2863 0.5074 0.7840  3 Ga 2.90-2.91, 7 Mg 2.98-3.23
Mg: 0.3487 0.9935 0.3508  6 Mg 2.97-3.23, 3 Ga 3.04-3.14
Mg: 0.4926 0.7137 0.2160  3 Ga 2.90-2.91, 7 Mg 2.98-3.23
Mg: 0.5074 0.2863 0.7840  3 Ga 2.90-2.91, 7 Mg 2.98-3.23
Mg: 0.6513 0.0065 0.6492  6 Mg 2.97-3.23, 3 Ga 3.04-3.14
Mg: 0.7137 0.4926 0.2160  3 Ga 2.90-2.91, 7 Mg 2.98-3.23
Mg: 0.9935 0.3487 0.3508  6 Mg 2.97-3.23, 3 Ga 3.04-3.14
Ga: 0.0000 0.5000 0.0000  2 Ga 2.88, 8 Mg 2.90-3.08
Ga: 0.5000 0.0000 0.0000  2 Ga 2.88, 8 Mg 2.90-3.08
Ga: 0.5000 0.5000 0.5000  10 Mg 2.88-3.14


2.
Compound: CrInSN2
Source: Alexandria
Functional: GGA-PBE
Structure: relaxed

Offset from the most stable computed form   0.000 eV per atom
Formation energy from raw total energies   0.310 eV per atom

Unit cell a=3.7390 b=3.7390 c=5.0650 alpha=90.00 beta=90.00 gamma=90.00
Closest atoms and distances in Å follow each position.
Atoms (fractional coordinates):
Cr: 0.0000 0.0000 0.0000  4 N 1.87
In: 0.5000 0.5000 0.5000  4 S 2.64
S: 0.0000 0.0000 0.5000  2 Cr 2.53, 4 In 2.64
N: 0.0000 0.5000 0.0000  2 Cr 1.87
N: 0.5000 0.0000 0.0000  2 Cr 1.87


no.,mass density (g/cm3),electronic total energy (eV per atom)
1,2.914,-2.074
2,5.321,-6.318